Record 1
{
  "formula": "KZrNbI2",
  "functional": "PBEsol",
  "state": "relaxed",
  "lattice_angstrom": [[5.004, 0.000, 0.000], [0.000, 5.719, 0.000], [0.000, 0.000, 5.719]],
  "species": ["K", "Nb", "Zr", "I", "I"],
  "frac_coords": [[0.500, 0.500, 0.500], [0.000, 0.000, 0.000], [0.500, 0.000, 0.000], [0.000, 0.000, 0.500], [0.000, 0.500, 0.000]],
  "formation_energy_uncorrected_ev_per_atom": 0.311,
  "m_tot_mub_per_cell": 0.9
}

---

Record 2
{
  "formula": "MgCd2Sn2",
  "functional": "PBEsol",
  "state": "relaxed",
  "lattice_angstrom": [[-3.037, -2.424, -1.097], [0.326, -1.991, 3.497], [-3.736, 7.109, 2.064]],
  "species": ["Sn", "Sn", "Cd", "Mg", "Cd"],
  "frac_coords": [[0.399, 0.399, 0.799], [0.601, 0.601, 0.201], [0.750, 0.250, 0.500], [0.000, 0.000, 0.000], [0.250, 0.750, 0.500]],
  "m_tot_mub_per_cell": 0.0,
  "formation_energy_ev_per_atom": 0.088
}

---

Record 3
{
  "formula": "Al2NiIr",
  "functional": "PBEsol",
  "state": "relaxed",
  "lattice_angstrom": [[2.882, 0.000, 0.000], [0.000, 4.194, -0.009], [-1.441, -1.302, 4.292]],
  "species": ["Ir", "Al", "Al", "Ni"],
  "frac_coords": [[0.497, 0.441, 0.994], [0.756, 0.307, 0.511], [0.991, 0.938, 0.983], [0.256, 0.814, 0.511]],
  "m_tot_mub_per_cell": 0.0,
  "formation_energy_ev_per_atom": -0.702
}

---

Record 4
{
  "formula": "KScMo",
  "functional": "PBEsol",
  "state": "relaxed",
  "lattice_angstrom": [[4.947, 0.000, 0.000], [2.474, 4.284, 0.000], [2.474, 1.428, 4.039]],
  "species": ["Sc", "K", "Mo"],
  "frac_coords": [[0.000, 0.000, 0.000], [0.500, 0.500, 0.500], [0.250, 0.250, 0.250]],
  "m_tot_mub_per_cell": 2.5,
  "formation_energy_ev_per_atom": 1.924
}

---

Record 5
{
  "formula": "Sr3CaIrO6",
  "functional": "PBEsol",
  "state": "relaxed",
  "lattice_angstrom": [[-5.459, -3.963, -0.445], [2.567, -2.627, -5.676], [3.223, -4.592, 3.772]],
  "species": ["O", "Ir", "Sr", "O", "O", "O", "O", "Sr", "O", "O", "O", "O", "Ir", "Sr", "O", "Sr", "O", "Ca", "O", "Ca", "Sr", "Sr"],
  "frac_coords": [[0.582, 0.449, 0.786], [0.000, 0.000, 0.000], [0.614, 0.886, 0.250], [0.551, 0.214, 0.418], [0.786, 0.582, 0.449], [0.214, 0.418, 0.551], [0.082, 0.286, 0.949], [0.250, 0.614, 0.886], [0.418, 0.551, 0.214], [0.449, 0.786, 0.582], [0.051, 0.918, 0.714], [0.918, 0.714, 0.051], [0.500, 0.500, 0.500], [0.886, 0.250, 0.614], [0.714, 0.051, 0.918], [0.750, 0.386, 0.114], [0.286, 0.949, 0.082], [0.250, 0.250, 0.250], [0.949, 0.082, 0.286], [0.750, 0.750, 0.750], [0.386, 0.114, 0.750], [0.114, 0.750, 0.386]],
  "formation_energy_uncorrected_ev_per_atom": -2.384,
  "m_tot_mub_per_cell": 2.1
}

---

Record 6
{
  "formula": "TlZnSi2",
  "functional": "PBEsol",
  "state": "relaxed",
  "lattice_angstrom": [[3.738, 0.000, -0.007], [0.000, 4.146, 0.000], [-0.900, 0.000, 5.315]],
  "species": ["Si", "Si", "Zn", "Tl"],
  "frac_coords": [[0.231, 0.000, 0.344], [0.769, 0.000, 0.656], [0.000, 0.500, 0.500], [0.500, 0.500, 0.000]],
  "formation_energy_uncorrected_ev_per_atom": 0.350,
  "m_tot_mub_per_cell": 0.0
}

---

Record 7
{
  "formula": "MnBeSi2",
  "functional": "PBEsol",
  "state": "relaxed",
  "lattice_angstrom": [[-4.072, -2.476, -0.330], [-1.355, -2.929, 4.108], [-4.368, 2.358, 1.630]],
  "species": ["Si", "Be", "Si", "Be", "Mn", "Mn", "Si", "Si"],
  "frac_coords": [[0.593, 0.032, 0.532], [0.500, 0.000, 0.000], [0.157, 0.968, 0.468], [0.250, 0.500, 0.500], [0.750, 0.500, 0.500], [0.000, 0.000, 0.000], [0.375, 0.468, 0.032], [0.875, 0.532, 0.968]],
  "formation_energy_uncorrected_ev_per_atom": 0.415,
  "m_tot_mub_per_cell": 5.9
}

---

Record 8
{
  "formula": "HoNiAs",
  "functional": "PBEsol",
  "state": "relaxed",
  "lattice_angstrom": [[3.809, 0.000, 0.000], [0.000, 3.984, 0.000], [0.000, -1.992, 3.450]],
  "species": ["As", "Ho", "Ni"],
  "frac_coords": [[0.000, 0.000, 0.000], [0.500, 0.333, 0.667], [0.000, 0.667, 0.333]],
  "m_tot_mub_per_cell": 0.0,
  "formation_energy_ev_per_atom": -1.092
}